1.
# PBE-GGA U4PbSe8, optimized geometry
# Formation energy (no corrections): -0.9993 eV/atom
# Total DFT energy (no corrections): -6.90 eV/atom
# Relative energy among the computed polymorphs: 27.2 meV/atom
data_U4PbSe8
_chemical_formula_sum 'U16 Pb4 Se32'
_symmetry_space_group_name_H-M 'F -4 3 m'
_symmetry_Int_Tables_number 216
_symmetry_space_group_name_Hall 'F -4 2 3'
_cell_length_a 12.0297
_cell_length_b 12.0297
_cell_length_c 12.0297
_cell_angle_alpha 90.00
_cell_angle_beta 90.00
_cell_angle_gamma 90.00
loop_
_atom_site_label
_atom_site_type_symbol
_atom_site_fract_x
_atom_site_fract_y
_atom_site_fract_z
U1 U 0.1207 0.1207 0.1207
Pb1 Pb 0.0000 0.0000 0.5000
Se1 Se 0.1158 0.1158 0.8842
Se2 Se 0.1391 0.1391 0.3609


2.
# PBE-GGA UPbSe3, optimized geometry
# Formation energy (no corrections): -0.8874 eV/atom
# Total DFT energy (no corrections): -5.98 eV/atom
# Relative energy among the computed polymorphs: 0.0 meV/atom
data_UPbSe3
_chemical_formula_sum 'U4 Pb4 Se12'
_symmetry_space_group_name_H-M 'P n m a'
_symmetry_Int_Tables_number 62
_cell_length_a 7.8910
_cell_length_b 4.2894
_cell_length_c 16.2968
_cell_angle_alpha 90.00
_cell_angle_beta 90.00
_cell_angle_gamma 90.00
loop_
_symmetry_equiv_pos_as_xyz
'x,y,z'
'-x,-y,-z'
'-x+1/2,-y,z+1/2'
'x+1/2,y,-z+1/2'
'x+1/2,-y+1/2,-z+1/2'
'-x+1/2,y+1/2,z+1/2'
'-x,y+1/2,-z'
'x,-y+1/2,z'
loop_
_atom_site_label
_atom_site_type_symbol
_atom_site_fract_x
_atom_site_fract_y
_atom_site_fract_z
U1 U 0.2423 0.2500 0.0342
Pb1 Pb 0.0883 0.7500 0.2793
Se1 Se 0.0226 0.7500 0.0917
Se2 Se 0.1216 0.2500 0.4395
Se3 Se 0.1855 0.7500 0.7077